1.
Here is a geometry-optimized SrMg6CdHg structure from Alexandria. Energies are from PBE.

Structure (CIF):
```
data_SrMg6CdHg
_cell_length_a 7.763
_cell_length_b 10.203
_cell_length_c 12.554
_cell_angle_alpha 90.00
_cell_angle_beta 90.00
_cell_angle_gamma 90.00
_space_group_name_H-M_alt 'I m m a'
_space_group_IT_number 74
_space_group_name_Hall '-I 2b 2'
loop_
_atom_site_label
_atom_site_fract_x
_atom_site_fract_y
_atom_site_fract_z
Sr1 0.000 0.250 0.198
Mg1 0.000 0.250 0.505
Mg2 0.000 0.250 0.917
Mg3 0.195 0.004 0.626
Cd1 0.250 0.250 0.750
Hg1 0.000 0.000 0.000
```

Calculated values
Total energy   -49.9 eV per cell
Calculated formation energy   0.00 eV/atom
Crystal system   orthorhombic



2.
Here is a geometry-optimized La6HAu2N structure from Alexandria. Energies are from PBE.

Structure (CIF):
```
data_La6HAu2N
_cell_length_a 6.802
_cell_length_b 7.465
_cell_length_c 12.402
_cell_angle_alpha 90.00
_cell_angle_beta 122.56
_cell_angle_gamma 90.00
_space_group_name_H-M_alt 'P 1 21/c 1'
_space_group_IT_number 14
_space_group_name_Hall '-P 2ybc'
loop_
_atom_site_label
_atom_site_fract_x
_atom_site_fract_y
_atom_site_fract_z
La1 0.115 0.022 0.236
La2 0.225 0.706 0.051
La3 0.360 0.184 0.052
H1 0.500 0.000 0.500
Au1 0.313 0.095 0.749
N1 0.000 0.000 0.000
```

Calculated values
Total energy   -109.5 eV per cell
Crystal system   monoclinic



3.
Here is a geometry-optimized Zr3NiS6 structure from Alexandria. Energies are from PBE.

Structure (CIF):
```
data_Zr3NiS6
_cell_length_a 10.194
_cell_length_b 12.304
_cell_length_c 6.063
_cell_angle_alpha 90.00
_cell_angle_beta 90.00
_cell_angle_gamma 90.00
_space_group_name_H-M_alt 'C m c 21'
_space_group_IT_number 36
_space_group_name_Hall 'C 2c -2'
loop_
_atom_site_label
_atom_site_fract_x
_atom_site_fract_y
_atom_site_fract_z
Zr1 0.000 0.111 0.000
Zr2 0.173 0.398 0.877
Ni1 0.000 0.290 0.321
S1 0.000 0.273 0.695
S2 0.000 0.463 0.198
S3 0.162 0.034 0.688
S4 0.179 0.232 0.155
```

Calculated values
Total energy   -277.4 eV per cell
E_form (uncorrected)   -1316 meV per atom
Crystal system   orthorhombic



4.
Here is a geometry-optimized PmDy3Sn5 structure from Alexandria. Energies are from PBE.

Structure (CIF):
```
data_PmDy3Sn5
_cell_length_a 9.4329
_cell_length_b 9.4329
_cell_length_c 6.3771
_cell_angle_alpha 90.00
_cell_angle_beta 90.00
_cell_angle_gamma 120.00
_space_group_name_H-M_alt 'P 63/m c m'
_space_group_IT_number 193
_space_group_name_Hall '-P 6c 2'
loop_
_atom_site_label
_atom_site_fract_x
_atom_site_fract_y
_atom_site_fract_z
Pm1 0.0000 0.0000 0.0000
Dy1 0.0000 0.3797 0.2500
Sn1 0.0000 0.2954 0.7500
Sn2 0.3333 0.6667 0.0000
```

Calculated values
Total energy   -87.4 eV per cell
Calculated formation energy   -0.57 eV/atom
Crystal system   hexagonal



5.
Here is a geometry-optimized Ba2Ti4O13 structure from Alexandria. Energies are from PBE.

Structure (CIF):
```
data_Ba2Ti4O13
_cell_length_a 14.640
_cell_length_b 3.915
_cell_length_c 9.852
_cell_angle_alpha 90.00
_cell_angle_beta 99.86
_cell_angle_gamma 90.00
_space_group_name_H-M_alt 'C 1 2/m 1'
_space_group_IT_number 12
_space_group_name_Hall '-C 2y'
loop_
_atom_site_label
_atom_site_fract_x
_atom_site_fract_y
_atom_site_fract_z
Ba1 0.079 0.000 0.257
Ti1 0.129 0.500 0.620
Ti2 0.168 0.500 0.925
O1 0.000 0.500 0.500
O2 0.063 0.500 0.786
O3 0.114 0.500 0.077
O4 0.120 0.000 0.611
O5 0.153 0.500 0.439
O6 0.194 0.000 0.950
O7 0.235 0.500 0.753
```

Calculated values
Total energy   -284.8 eV per cell
E_form (uncorrected)   -2238 meV per atom
Crystal system   monoclinic



6.
Here is a geometry-optimized TmInCuAu structure from Alexandria. Energies are from PBE.

Structure (CIF):
```
data_TmInCuAu
_cell_length_a 6.789
_cell_length_b 6.789
_cell_length_c 6.789
_cell_angle_alpha 90.00
_cell_angle_beta 90.00
_cell_angle_gamma 90.00
_space_group_name_H-M_alt 'F -4 3 m'
_space_group_IT_number 216
_space_group_name_Hall 'F -4 2 3'
loop_
_atom_site_label
_atom_site_fract_x
_atom_site_fract_y
_atom_site_fract_z
Tm1 0.000 0.000 0.000
In1 0.000 0.000 0.500
Cu1 0.250 0.250 0.250
Au1 0.250 0.250 0.750
```

Calculated values
Total energy   -66.4 eV per cell
Calculated formation energy   -0.50 eV/atom
Crystal system   cubic



7.
Here is a geometry-optimized Sm4ErMg5 structure from Alexandria. Energies are from PBE.

Structure (CIF):
```
data_Sm4ErMg5
_cell_length_a 3.825
_cell_length_b 3.825
_cell_length_c 19.210
_cell_angle_alpha 90.00
_cell_angle_beta 90.00
_cell_angle_gamma 90.00
_space_group_name_H-M_alt 'P 4/m m m'
_space_group_IT_number 123
_space_group_name_Hall '-P 4 2'
loop_
_atom_site_label
_atom_site_fract_x
_atom_site_fract_y
_atom_site_fract_z
Sm1 0.000 0.000 0.101
Sm2 0.000 0.000 0.303
Er1 0.000 0.000 0.500
Mg1 0.500 0.500 0.000
Mg2 0.500 0.500 0.202
Mg3 0.500 0.500 0.404
```

Calculated values
Total energy   -32.3 eV per cell
Calculated formation energy   -0.09 eV/atom
Crystal system   tetragonal



8.
Here is a geometry-optimized CsNp2SbO8 structure from Alexandria. Energies are from PBE.

Structure (CIF):
```
data_CsNp2SbO8
_cell_length_a 5.094
_cell_length_b 5.096
_cell_length_c 8.807
_cell_angle_alpha 88.84
_cell_angle_beta 89.37
_cell_angle_gamma 86.73
_space_group_name_H-M_alt 'P -1'
_space_group_IT_number 2
_space_group_name_Hall '-P 1'
loop_
_atom_site_label
_atom_site_fract_x
_atom_site_fract_y
_atom_site_fract_z
Cs1 0.000 0.000 0.000
Np1 0.489 0.492 0.304
Sb1 0.000 0.000 0.500
O1 0.210 0.778 0.312
O2 0.218 0.780 0.689
O3 0.321 0.315 0.493
O4 0.371 0.358 0.873
```

Calculated values
Total energy   -96.8 eV per cell
E_form (uncorrected)   -2188 meV per atom
Crystal system   triclinic